i:
DFT (PBE) results for SiHgOs3 after structural relaxation.

Structure (extended XYZ):
```
5
Lattice="4.4420 0.0000 0.0000 0.0000 4.4420 0.0000 0.0000 0.0000 4.4420" Properties=species:S:1:pos:R:3 pbc="T T T"
Si 0.0000 0.0000 0.0000
Hg 2.2210 2.2210 2.2210
Os 0.0000 0.0000 2.2210
Os 0.0000 2.2210 0.0000
Os 2.2210 0.0000 0.0000
```

M_tot	1.78	μB/f.u.
Fermi-level density of states	3.65	states/eV/f.u.

***

ii:
DFT (PBE) results for SiHgOs3 after structural relaxation.

Structure (extended XYZ):
```
5
Lattice="4.9502 0.0000 0.0000 0.0000 4.9502 0.0000 0.0000 0.0000 4.9502" Properties=species:S:1:pos:R:3 pbc="T T T"
Si 0.0000 0.0000 0.0000
Hg 2.4751 2.4751 2.4751
Os 0.0000 2.4751 2.4751
Os 2.4751 0.0000 2.4751
Os 2.4751 2.4751 0.0000
```

M_tot	5.95	μB/f.u.
Fermi-level density of states	7.69	states/eV/f.u.

***

Most stable one: i, least stable one: ii.

***

i:
DFT (PBE) results for Sm3HgOs after structural relaxation.

Structure (extended XYZ):
```
10
Lattice="7.7934 0.0000 0.0000 0.0000 4.3980 0.0000 -2.2822 0.0000 8.3650" Properties=species:S:1:pos:R:3 pbc="T T T"
Sm -0.0828 1.0995 2.3132
Sm 0.2034 1.0995 7.7630
Sm 1.2703 3.2985 4.9462
Sm 4.2409 1.0995 3.4188
Sm 5.3078 3.2985 0.6020
Sm 5.5940 3.2985 6.0518
Hg 2.2367 3.2985 1.7132
Hg 3.2745 1.0995 6.6518
Os -0.6133 1.0995 5.0831
Os 6.1245 3.2985 3.2819
```

M_tot	0.00	μB/f.u.
Fermi-level density of states	4.45	states/eV/f.u.

***

ii:
DFT (PBE) results for Sm3HgOs after structural relaxation.

Structure (extended XYZ):
```
10
Lattice="0.0000 5.0056 8.0550 3.3124 0.0000 8.0550 3.3124 5.0056 0.0000" Properties=species:S:1:pos:R:3 pbc="T T T"
Sm 3.3124 5.0056 3.2113
Sm 3.3124 3.1035 6.2905
Sm 3.3124 3.1035 9.8195
Sm 3.3124 6.9078 6.2905
Sm 3.3124 6.9078 9.8195
Sm 3.3124 5.0056 12.8987
Hg 5.2172 5.0056 8.0550
Hg 1.4076 5.0056 8.0550
Os 1.6562 2.5028 4.0275
Os 4.9686 7.5084 12.0825
```

M_tot	0.00	μB/f.u.
Fermi-level density of states	3.75	states/eV/f.u.

***

Most stable one: ii, least stable one: i.

***

i:
DFT (PBE) results for SmThHgOs after structural relaxation.

Structure (extended XYZ):
```
4
Lattice="0.0000 3.6596 3.6596 3.6596 0.0000 3.6596 3.6596 3.6596 0.0000" Properties=species:S:1:pos:R:3 pbc="T T T"
Sm 0.0000 0.0000 0.0000
Th 3.6596 3.6596 3.6596
Hg 5.4894 5.4894 5.4894
Os 1.8298 1.8298 1.8298
```

M_tot	0.00	μB/f.u.
Fermi-level density of states	2.60	states/eV/f.u.

***

ii:
DFT (PBE) results for SmThHgOs after structural relaxation.

Structure (extended XYZ):
```
4
Lattice="2.0940 1.2090 7.5123 -2.0940 1.2090 7.5123 0.0000 -2.4180 7.5123" Properties=species:S:1:pos:R:3 pbc="T T T"
Sm 0.0000 0.0000 0.0000
Th 0.0000 0.0000 4.5706
Hg 0.0000 0.0000 17.2356
Os 0.0000 0.0000 13.4839
```

M_tot	0.00	μB/f.u.
Fermi-level density of states	3.02	states/eV/f.u.

***

Most stable one: ii, least stable one: i.